Compound: Ce4Ge3SbRh12
Source: Alexandria via LeMat-Bulk
Functional: GGA-PBE
Structure: optimized geometry

```
20
Lattice="-4.6659 4.6659 4.6659 4.6659 -4.6659 4.6659 4.6659 4.6659 -4.6659" Properties=species:S:1:pos:R:3 pbc="T T T"
Ce 2.3329 2.3329 -2.3329
Ce 2.3329 -2.3329 2.3329
Ce -2.3329 2.3329 2.3329
Ce 2.3329 2.3329 2.3329
Ge 4.6659 0.0000 0.0000
Ge 0.0000 4.6659 0.0000
Ge 0.0000 0.0000 4.6659
Sb 0.0000 0.0000 0.0000
Rh 2.4126 0.0000 0.0000
Rh 6.9191 0.0000 0.0000
Rh 4.6659 2.3329 0.0000
Rh 4.6659 0.0000 2.3329
Rh 0.0000 2.4126 0.0000
Rh 0.0000 0.0000 2.4126
Rh 2.3329 4.6659 0.0000
Rh 2.3329 0.0000 4.6659
Rh 0.0000 6.9191 0.0000
Rh 0.0000 0.0000 6.9191
Rh 0.0000 4.6659 2.3329
Rh 0.0000 2.3329 4.6659
```

## Properties
Space-group type ... Im-3m
E_form (uncorrected) ... -0.22 eV/atom

***

Compound: HfTaCd2
Source: Alexandria via LeMat-Bulk
Functional: GGA-PBE
Structure: optimized geometry

```
4
Lattice="0.0000 3.4265 3.4265 3.4265 0.0000 3.4265 3.4265 3.4265 0.0000" Properties=species:S:1:pos:R:3 pbc="T T T"
Hf 0.0000 0.0000 0.0000
Ta 3.4265 3.4265 3.4265
Cd 1.7132 1.7132 1.7132
Cd 5.1397 5.1397 5.1397
```

## Properties
Distance to the lowest polymorph of the same formula ... 0.000 eV per atom
Space-group type ... Fm-3m
Energy of formation from the pure elements ... 0.38 eV/atom

***

Compound: BiH2Cl6
Source: Alexandria via LeMat-Bulk
Functional: GGA-PBE
Structure: optimized geometry

```
18
Lattice="7.2060 -5.6057 0.0000 7.2060 5.6057 0.0000 -0.2585 0.0000 6.8597" Properties=species:S:1:pos:R:3 pbc="T T T"
Bi 7.0121 4.3746 5.1447
Bi 7.1413 -4.3746 1.7149
H 5.1338 0.3700 5.6325
H 5.2631 -0.3700 2.2027
H 8.8903 0.3700 4.6570
H 9.0196 -0.3700 1.2271
Cl 1.3440 0.8500 3.9765
Cl 5.4091 2.7184 6.1572
Cl 1.4732 -0.8500 0.5467
Cl 4.9627 0.8908 2.1389
Cl 8.6151 2.7184 4.1323
Cl 4.8334 -0.8908 5.5687
Cl 9.3200 0.8908 1.2909
Cl 5.5384 -2.7184 2.7273
Cl 9.1907 -0.8908 4.7208
Cl 12.6802 0.8500 6.3130
Cl 8.7443 -2.7184 0.7025
Cl 12.8095 -0.8500 2.8832
```

## Properties
Raw total energy ... -53.5 eV per cell
Space-group type ... C2/c

***

Compound: CuHg3O
Source: Alexandria via LeMat-Bulk
Functional: GGA-PBE
Structure: optimized geometry

```
5
Lattice="4.7746 0.0000 0.0000 0.0000 4.7746 0.0000 0.0000 0.0000 4.7746" Properties=species:S:1:pos:R:3 pbc="T T T"
Cu 0.0000 0.0000 0.0000
Hg 0.0000 2.3873 2.3873
Hg 2.3873 0.0000 2.3873
Hg 2.3873 2.3873 0.0000
O 2.3873 2.3873 2.3873
```

## Properties
Distance to the lowest polymorph of the same formula ... 0.000 eV per atom
Space-group type ... Pm-3m
E_form (uncorrected) ... 0.52 eV/atom

***

Compound: Cs3SrPb2I9
Source: Alexandria via LeMat-Bulk
Functional: GGA-PBE
Structure: optimized geometry

```
15
Lattice="9.0665 0.0000 0.0000 -4.5333 7.8518 0.0000 0.0000 0.0000 11.1118" Properties=species:S:1:pos:R:3 pbc="T T T"
Cs 0.0000 0.0000 0.0000
Cs 0.0000 5.2346 7.4252
Cs 4.5333 2.6173 3.6866
Sr 0.0000 0.0000 5.5559
Pb 0.0000 5.2346 1.8248
Pb 4.5333 2.6173 9.2871
I -2.2666 3.9259 0.0000
I 0.0000 2.6401 3.6891
I -2.2468 6.5318 3.6891
I 2.2864 1.3201 7.4227
I 4.5333 0.0000 0.0000
I 2.2666 3.9259 0.0000
I 2.2468 6.5318 3.6891
I 6.7801 1.3201 7.4227
I 4.5333 5.2117 7.4227
```

## Properties
Space-group type ... P-3m1
E_form (uncorrected) ... -1.20 eV/atom

***

Compound: MgTlGa
Source: Alexandria via LeMat-Bulk
Functional: GGA-PBE
Structure: optimized geometry

```
12
Lattice="6.6281 0.0000 0.0000 0.0000 4.4723 0.0000 0.0000 0.0000 9.5065" Properties=species:S:1:pos:R:3 pbc="T T T"
Mg 0.8849 1.1181 2.3451
Mg 2.4292 3.3542 7.0984
Mg 4.1989 1.1181 2.4081
Mg 5.7432 3.3542 7.1614
Tl 0.8301 1.1181 8.5901
Tl 2.4840 3.3542 3.8368
Tl 4.1441 1.1181 5.6697
Tl 5.7980 3.3542 0.9164
Ga 0.6659 1.1181 5.4042
Ga 2.6481 3.3542 0.6510
Ga 3.9799 1.1181 8.8555
Ga 5.9622 3.3542 4.1023
```

## Properties
Space-group type ... Pnma
Energy of formation from the pure elements ... 0.04 eV/atom